Material: ZnSbTe2Ru
Method: DFT, PBE
State: optimized geometry

Values from the calculation:
The energy relative to the lowest polymorph listed for this composition is 0.659 eV/atom. The value obtained for the formation energy from raw total energies is 1.1715 eV per atom. The value obtained for the total magnetization is 0.30 μB per cell. The calculation puts the density of states at the Fermi level at 6.5 states/eV/cell. As for the volume: 26.64 Å³ per atom. Its final energy is -3.02 eV per atom.

Cell: 5.1702 5.1702 4.9833 Å, 90.00 90.00 90.00°
With the nearest neighbours (Å) after each atom.
Fractional positions:
Sb 0.0000 0.0000 0.5000  2 Zn 2.49
Zn 0.0000 0.0000 0.0000  2 Sb 2.49, 4 Te 2.59
Te 0.0000 0.5000 0.0000  2 Zn 2.59
Te 0.5000 0.0000 0.0000  2 Zn 2.59
Ru 0.5000 0.5000 0.5000  8 Te 3.59, 4 Sb 3.66